A plane-wave DFT calculation with GGA-PBE was carried out for a geometry-optimized CeNdHgIr structure. Values from VASP.

Properties
D(E_F)	1.348	states/eV/atom
energy relative to the elements	-0.555	eV/atom
symmetry	No. 160

Cell and atoms, written as Quantum ESPRESSO input:
```
&SYSTEM
  ibrav = 0, nat = 12, ntyp = 4
/
ATOMIC_SPECIES
Ce 140.12 Ce.upf
Nd 144.24 Nd.upf
Hg 200.59 Hg.upf
Ir 192.22 Ir.upf
CELL_PARAMETERS angstrom
4.1232 0.0000 0.0000
-2.0616 3.5708 0.0000
0.0000 0.0000 23.1282
ATOMIC_POSITIONS crystal
Ce 0.0000 0.0000 0.0000
Ce 0.3333 0.6667 0.6667
Ce 0.6667 0.3333 0.3333
Nd 0.0000 0.0000 0.8002
Nd 0.3333 0.6667 0.4668
Nd 0.6667 0.3333 0.1335
Hg 0.0000 0.0000 0.5681
Hg 0.3333 0.6667 0.2348
Hg 0.6667 0.3333 0.9015
Ir 0.0000 0.0000 0.3954
Ir 0.3333 0.6667 0.0621
Ir 0.6667 0.3333 0.7288
```

***

A plane-wave DFT calculation with GGA-PBE was carried out for a geometry-optimized CePmPrDy structure. Values from VASP.

Properties
D(E_F)	3.155	states/eV/atom
energy relative to the elements	0.193	eV/atom
symmetry	No. 216

Cell and atoms, written as Quantum ESPRESSO input:
```
&SYSTEM
  ibrav = 0, nat = 16, ntyp = 4
/
ATOMIC_SPECIES
Ce 140.12 Ce.upf
Pm 145.00 Pm.upf
Pr 140.91 Pr.upf
Dy 162.50 Dy.upf
CELL_PARAMETERS angstrom
8.1326 0.0000 0.0000
0.0000 8.1326 0.0000
0.0000 0.0000 8.1326
ATOMIC_POSITIONS crystal
Ce 0.0000 0.0000 0.0000
Ce 0.0000 0.5000 0.5000
Ce 0.5000 0.0000 0.5000
Ce 0.5000 0.5000 0.0000
Pm 0.2500 0.2500 0.2500
Pm 0.2500 0.7500 0.7500
Pm 0.7500 0.2500 0.7500
Pm 0.7500 0.7500 0.2500
Pr 0.0000 0.0000 0.5000
Pr 0.0000 0.5000 0.0000
Pr 0.5000 0.0000 0.0000
Pr 0.5000 0.5000 0.5000
Dy 0.2500 0.2500 0.7500
Dy 0.2500 0.7500 0.2500
Dy 0.7500 0.2500 0.2500
Dy 0.7500 0.7500 0.7500
```

***

no.,E_tot (eV per atom),energy above the lowest structure with this stoichiometry (meV per atom)
1,-5.52,0.0
2,-4.82,0.0